(1)
# PBE-GGA MnIn2CuNi, relaxed
# - Total DFT energy (no corrections): -4.209 eV per atom
# - ΔE_f: 696 meV/atom
# - V: 105 Å³ per cell
data_MnIn2CuNi
_cell_length_a 4.8146
_cell_length_b 4.8146
_cell_length_c 4.5154
_cell_angle_alpha 90.00
_cell_angle_beta 90.00
_cell_angle_gamma 90.00
_space_group_name_H-M_alt 'P 4/m m m'
_space_group_IT_number 123
_space_group_name_Hall '-P 4 2'
loop_
_atom_site_label
_atom_site_type_symbol
_atom_site_fract_x
_atom_site_fract_y
_atom_site_fract_z
_atom_site_occupancy
Mn1 Mn 0.0000 0.0000 0.0000 1
In1 In 0.0000 0.5000 0.5000 1
Cu1 Cu 0.5000 0.5000 0.5000 1
Ni1 Ni 0.5000 0.5000 0.0000 1

(2)
# PBE-GGA K3Pm2ScTe6, relaxed
# - Total DFT energy (no corrections): -4.518 eV per atom
# - Formation energy without anion corrections: -1353 meV/atom
# - V: 867 Å³ per cell
data_K3Pm2ScTe6
_cell_length_a 7.7978
_cell_length_b 13.5115
_cell_length_c 8.6362
_cell_angle_alpha 90.00
_cell_angle_beta 107.59
_cell_angle_gamma 90.00
_space_group_name_H-M_alt 'C 1 2/m 1'
_space_group_IT_number 12
_space_group_name_Hall '-C 2y'
loop_
_atom_site_label
_atom_site_type_symbol
_atom_site_fract_x
_atom_site_fract_y
_atom_site_fract_z
_atom_site_occupancy
K1 K 0.0000 0.0000 0.0000 1
K2 K 0.0000 0.3285 0.0000 1
Pm1 Pm 0.0000 0.1660 0.5000 1
Sc1 Sc 0.0000 0.5000 0.5000 1
Te1 Te 0.2274 0.3415 0.7074 1
Te2 Te 0.2465 0.5000 0.2912 1

(3)
# PBE-GGA BeCoSe2, relaxed
# - Total DFT energy (no corrections): -4.466 eV per atom
# - Formation energy without anion corrections: -15 meV/atom
# - V: 140 Å³ per cell
data_BeCoSe2
_cell_length_a 3.1605
_cell_length_b 3.2497
_cell_length_c 13.6134
_cell_angle_alpha 90.00
_cell_angle_beta 90.00
_cell_angle_gamma 90.00
_space_group_name_H-M_alt 'I m m 2'
_space_group_IT_number 44
_space_group_name_Hall 'I 2 -2'
loop_
_atom_site_label
_atom_site_type_symbol
_atom_site_fract_x
_atom_site_fract_y
_atom_site_fract_z
_atom_site_occupancy
Be1 Be 0.0000 0.0000 0.0000 1
Co1 Co 0.0000 0.5000 0.8795 1
Se1 Se 0.0000 0.0000 0.5365 1
Se2 Se 0.0000 0.5000 0.3024 1

(4)
# PBE-GGA Pm2Pr3Sm7, relaxed
# - Total DFT energy (no corrections): -4.457 eV per atom
# - ΔE_f: 282 meV/atom
# - V: 441 Å³ per cell
data_Pm2Pr3Sm7
_cell_length_a 6.1940
_cell_length_b 5.6885
_cell_length_c 12.5227
_cell_angle_alpha 90.00
_cell_angle_beta 92.49
_cell_angle_gamma 90.00
_space_group_name_H-M_alt 'P 1 2/m 1'
_space_group_IT_number 10
_space_group_name_Hall '-P 2y'
loop_
_atom_site_label
_atom_site_type_symbol
_atom_site_fract_x
_atom_site_fract_y
_atom_site_fract_z
_atom_site_occupancy
Pm1 Pm 0.1129 0.0000 0.2830 1
Pr1 Pr 0.0000 0.0000 0.0000 1
Pr2 Pr 0.4365 0.5000 0.3387 1
Sm1 Sm 0.0584 0.5000 0.8200 1
Sm2 Sm 0.2631 0.0000 0.5525 1
Sm3 Sm 0.4183 0.0000 0.8341 1
Sm4 Sm 0.5000 0.5000 0.0000 1